(1)
CaPrErTl: optimized geometry, PBE-GGA.

```
data_CaPrErTl
_chemical_formula_sum 'Ca1 Pr1 Er1 Tl1'
_cell_length_a 5.580
_cell_length_b 5.580
_cell_length_c 5.580
_cell_angle_alpha 60.00
_cell_angle_beta 60.00
_cell_angle_gamma 60.00
_space_group_name_H-M_alt 'P 1'
_space_group_IT_number 1
_space_group_name_Hall 'P 1'
loop_
_atom_site_label
_atom_site_type_symbol
_atom_site_fract_x
_atom_site_fract_y
_atom_site_fract_z
_atom_site_occupancy
Pr1 Pr 0.000 0.000 0.000 1
Tl1 Tl 0.750 0.750 0.750 1
Ca1 Ca 0.250 0.250 0.250 1
Er1 Er 0.500 0.500 0.500 1
```

Output
Total magnetization   0.028 μB per formula unit
Volume   30.7 Å³ per atom
Uncorrected energy   -0.2567 Ry/atom
ΔH_f (0 K)   -0.26 eV/f.u.
DOS(E_F)   3.3 states/eV per cell

=====

(2)
Tm6TeC3S2: optimized geometry, PBE-GGA.

```
data_Tm6TeC3S2
_chemical_formula_sum 'Tm6 Te1 C3 S2'
_cell_length_a 3.701
_cell_length_b 7.759
_cell_length_c 8.615
_cell_angle_alpha 106.64
_cell_angle_beta 102.40
_cell_angle_gamma 90.00
_space_group_name_H-M_alt 'P 1'
_space_group_IT_number 1
_space_group_name_Hall 'P 1'
loop_
_atom_site_label
_atom_site_type_symbol
_atom_site_fract_x
_atom_site_fract_y
_atom_site_fract_z
_atom_site_occupancy
Tm1 Tm 0.318 0.937 0.637 1
Tm2 Tm 0.660 0.604 0.320 1
Tm3 Tm 0.682 0.063 0.363 1
Tm4 Tm 0.988 0.287 0.975 1
Tm5 Tm 0.012 0.713 0.025 1
Tm6 Tm 0.340 0.396 0.680 1
Te1 Te 0.500 0.000 0.000 1
C1 C 0.500 0.500 0.000 1
C2 C 0.832 0.171 0.663 1
C3 C 0.168 0.829 0.337 1
S1 S 0.833 0.666 0.665 1
S2 S 0.167 0.334 0.335 1
```

Output
E_form (uncorrected)   -1.140 eV/atom
Total magnetization   0.000 μB per formula unit
Volume   19.2 Å³ per atom
Uncorrected energy   -0.4874 Ry/atom
DOS(E_F)   0.7 states/eV per cell

=====

(3)
TbEuTh2: optimized geometry, PBE-GGA.

```
data_TbEuTh2
_chemical_formula_sum 'Tb1 Eu1 Th2'
_cell_length_a 3.523
_cell_length_b 3.523
_cell_length_c 12.865
_cell_angle_alpha 82.13
_cell_angle_beta 82.13
_cell_angle_gamma 60.00
_space_group_name_H-M_alt 'P 1'
_space_group_IT_number 1
_space_group_name_Hall 'P 1'
loop_
_atom_site_label
_atom_site_type_symbol
_atom_site_fract_x
_atom_site_fract_y
_atom_site_fract_z
_atom_site_occupancy
Eu1 Eu 0.000 0.000 0.000 1
Tb1 Tb 0.500 0.500 0.500 1
Th1 Th 0.090 0.090 0.731 1
Th2 Th 0.910 0.910 0.269 1
```

Output
Total magnetization   7.796 μB per formula unit
Volume   34.1 Å³ per atom
Uncorrected energy   -0.5304 Ry/atom
ΔH_f (0 K)   0.88 eV/f.u.
Energy relative to the lowest polymorph listed for this composition   68.6 meV per atom
DOS(E_F)   6.1 states/eV per cell

=====

(4)
LiMgFe2Re: optimized geometry, PBE-GGA.

```
data_LiMgFe2Re
_chemical_formula_sum 'Li1 Mg1 Fe2 Re1'
_cell_length_a 4.279
_cell_length_b 3.690
_cell_length_c 4.279
_cell_angle_alpha 90.00
_cell_angle_beta 90.00
_cell_angle_gamma 90.00
_space_group_name_H-M_alt 'P 1'
_space_group_IT_number 1
_space_group_name_Hall 'P 1'
loop_
_atom_site_label
_atom_site_type_symbol
_atom_site_fract_x
_atom_site_fract_y
_atom_site_fract_z
_atom_site_occupancy
Re1 Re 0.500 0.500 0.500 1
Mg1 Mg 0.000 0.000 0.000 1
Fe1 Fe 0.000 0.000 0.500 1
Fe2 Fe 0.500 0.000 0.000 1
Li1 Li 0.000 0.500 0.000 1
```

Output
Total magnetization   0.247 μB per formula unit
Volume   13.5 Å³ per atom
Uncorrected energy   -0.3546 Ry/atom
ΔH_f (0 K)   8.76 eV/f.u.
DOS(E_F)   10.7 states/eV per cell

=====

(5)
Mg3In2Pd2: optimized geometry, PBE-GGA.

```
data_Mg3In2Pd2
_chemical_formula_sum 'Mg3 In2 Pd2'
_cell_length_a 4.199
_cell_length_b 5.100
_cell_length_c 7.727
_cell_angle_alpha 110.91
_cell_angle_beta 90.00
_cell_angle_gamma 114.31
_space_group_name_H-M_alt 'P 1'
_space_group_IT_number 1
_space_group_name_Hall 'P 1'
loop_
_atom_site_label
_atom_site_type_symbol
_atom_site_fract_x
_atom_site_fract_y
_atom_site_fract_z
_atom_site_occupancy
Mg1 Mg 0.500 0.000 0.000 1
Mg2 Mg 0.629 0.257 0.423 1
Mg3 Mg 0.371 0.743 0.577 1
In1 In 0.865 0.730 0.203 1
In2 In 0.135 0.270 0.797 1
Pd1 Pd 0.833 0.667 0.792 1
Pd2 Pd 0.167 0.333 0.208 1
```

Output
Total magnetization   0.000 μB per formula unit
Volume   19.8 Å³ per atom
Uncorrected energy   -0.2512 Ry/atom
ΔH_f (0 K)   -3.28 eV/f.u.
Energy relative to the lowest polymorph listed for this composition   0.0 meV per atom
DOS(E_F)   1.9 states/eV per cell

=====

(6)
Rb2Pb4Au3: optimized geometry, PBE-GGA.

```
data_Rb2Pb4Au3
_chemical_formula_sum 'Rb2 Pb4 Au3'
_cell_length_a 6.740
_cell_length_b 6.740
_cell_length_c 8.105
_cell_angle_alpha 100.86
_cell_angle_beta 100.86
_cell_angle_gamma 123.14
_space_group_name_H-M_alt 'P 1'
_space_group_IT_number 1
_space_group_name_Hall 'P 1'
loop_
_atom_site_label
_atom_site_type_symbol
_atom_site_fract_x
_atom_site_fract_y
_atom_site_fract_z
_atom_site_occupancy
Rb1 Rb 0.626 0.626 0.252 1
Rb2 Rb 0.374 0.374 0.748 1
Pb1 Pb 0.021 0.678 0.699 1
Pb2 Pb 0.678 0.021 0.699 1
Pb3 Pb 0.979 0.322 0.301 1
Pb4 Pb 0.322 0.979 0.301 1
Au1 Au 0.500 0.000 0.000 1
Au2 Au 0.000 0.000 0.000 1
Au3 Au 0.000 0.500 0.000 1
```

Output
Total magnetization   0.000 μB per formula unit
Volume   31.5 Å³ per atom
Uncorrected energy   -0.2292 Ry/atom
ΔH_f (0 K)   -1.46 eV/f.u.
DOS(E_F)   3.1 states/eV per cell

=====

(7)
Ta2AgW: optimized geometry, PBE-GGA.

```
data_Ta2AgW
_chemical_formula_sum 'Ta2 Ag1 W1'
_cell_length_a 5.411
_cell_length_b 5.411
_cell_length_c 2.753
_cell_angle_alpha 81.06
_cell_angle_beta 81.06
_cell_angle_gamma 115.30
_space_group_name_H-M_alt 'P 1'
_space_group_IT_number 1
_space_group_name_Hall 'P 1'
loop_
_atom_site_label
_atom_site_type_symbol
_atom_site_fract_x
_atom_site_fract_y
_atom_site_fract_z
_atom_site_occupancy
Ag1 Ag 0.000 0.500 0.500 1
W1 W 0.500 0.000 0.500 1
Ta1 Ta 0.000 0.000 0.000 1
Ta2 Ta 0.500 0.500 0.000 1
```

Output
Total magnetization   0.000 μB per formula unit
Volume   17.4 Å³ per atom
Uncorrected energy   -0.7035 Ry/atom
ΔH_f (0 K)   1.22 eV/f.u.
Energy relative to the lowest polymorph listed for this composition   200.2 meV per atom
DOS(E_F)   3.7 states/eV per cell

=====

(8)
DyHoRhPb: optimized geometry, PBE-GGA.

```
data_DyHoRhPb
_chemical_formula_sum 'Dy1 Ho1 Rh1 Pb1'
_cell_length_a 3.480
_cell_length_b 3.480
_cell_length_c 8.000
_cell_angle_alpha 90.00
_cell_angle_beta 90.00
_cell_angle_gamma 90.00
_space_group_name_H-M_alt 'P 1'
_space_group_IT_number 1
_space_group_name_Hall 'P 1'
loop_
_atom_site_label
_atom_site_type_symbol
_atom_site_fract_x
_atom_site_fract_y
_atom_site_fract_z
_atom_site_occupancy
Dy1 Dy 0.500 0.500 0.778 1
Ho1 Ho 0.500 0.500 0.364 1
Rh1 Rh 0.000 0.000 0.569 1
Pb1 Pb 0.000 0.000 0.073 1
```

Output
Total magnetization   0.000 μB per formula unit
Volume   24.2 Å³ per atom
Uncorrected energy   -0.4226 Ry/atom
ΔH_f (0 K)   -2.76 eV/f.u.
Energy relative to the lowest polymorph listed for this composition   0.0 meV per atom
DOS(E_F)   1.7 states/eV per cell

=====

- What is the volume in the first record?
  30.7 Å³ per atom